This record from the Alexandria database describes HfTeSe2 after structural relaxation. The functional is PBE.

Cell lengths 9.453, 9.453, 9.453 Å; angles 22.36, 22.36, 22.36 degrees
Element x y z (fractional)
Te 0.000 0.000 0.000
Hf 0.500 0.500 0.500
Se 0.893 0.893 0.893
Se 0.107 0.107 0.107

- crystal system = trigonal
- formation energy (no corrections) (meV/atom) = -750